The following is a PBE calculation of crystalline AlSiTc at its relaxed geometry, from Alexandria via LeMat-Bulk.

The space group is P-6m2 (No. 187) and the conventional cell measures 4.0531, 4.0531 and 3.1578 Å, with angles of 90.00, 90.00 and 120.00 degrees. Symmetry generates all atoms from Al at (0.0000, 0.0000, 0.0000), Si at (0.6667, 0.3333, 0.5000) and Tc at (0.3333, 0.6667, 0.5000).

The density of states at the Fermi level comes out at 0.99 states/eV/cell. As for the crystal system: hexagonal. For the energy relative to the lowest polymorph listed for this composition, the calculation gives 420.3 meV per atom. The uncorrected formation energy comes out at -0.6 eV per formula unit. The value obtained for the total energy is -0.2471 hartree per atom.

=====

The following is a PBE calculation of crystalline HoThAg at its relaxed geometry, from Alexandria via LeMat-Bulk.

The space group is I4mm (No. 107) and the conventional cell measures 3.5940, 3.5940 and 12.7838 Å, with angles of 90.00, 90.00 and 90.00 degrees. Symmetry generates all atoms from Ho at (0.0000, 0.0000, 0.0000), Th at (0.0000, 0.0000, 0.6916) and Ag at (0.0000, 0.0000, 0.3597).

The density of states at the Fermi level comes out at 7.92 states/eV/cell. For the formation energy from the elements, the calculation gives -0.10 eV/atom. As for the crystal system: tetragonal. For the energy relative to the lowest polymorph listed for this composition, the calculation gives 8.1 meV per atom. The value obtained for the total energy is -0.1857 hartree per atom.

=====

The following is a PBE calculation of crystalline CsTl2ZnHg at its relaxed geometry, from Alexandria via LeMat-Bulk.

The space group is P4/mmm (No. 123) and the conventional cell measures 5.6085, 5.6085 and 5.6180 Å, with angles of 90.00, 90.00 and 90.00 degrees. Symmetry generates all atoms from Cs at (0.0000, 0.0000, 0.0000), Tl at (0.0000, 0.5000, 0.5000), Zn at (0.5000, 0.5000, 0.5000) and Hg at (0.5000, 0.5000, 0.0000).

The density of states at the Fermi level comes out at 3.52 states/eV/cell. For the formation energy from the elements, the calculation gives 0.05 eV/atom. As for the crystal system: tetragonal. The value obtained for the total energy is -0.0510 hartree per atom.

=====

The following is a PBE calculation of crystalline Y2Cd16Ag at its relaxed geometry, from Alexandria via LeMat-Bulk.

The space group is R3m (No. 160, hexagonal axes) and the conventional cell measures 9.9829, 9.9829 and 15.0472 Å, with angles of 90.00, 90.00 and 120.00 degrees. Symmetry generates all atoms from Y at (0.0000, 0.0000, 0.0000), Y at (0.0000, 0.0000, 0.3385), Cd at (0.0000, 0.0000, 0.7805), Cd at (0.0017, 0.3007, 0.6730), Cd at (0.0233, 0.5116, 0.5308), Cd at (0.0505, 0.5253, 0.1654), Cd at (0.0605, 0.5303, 0.8246) and Ag at (0.0000, 0.0000, 0.5928).

The density of states at the Fermi level comes out at 17.53 states/eV/cell. For the formation energy from the elements, the calculation gives -0.11 eV/atom. As for the crystal system: trigonal. The value obtained for the total energy is -0.0629 hartree per atom.

=====

The following is a PBE calculation of crystalline SrCuAgP at its relaxed geometry, from Alexandria via LeMat-Bulk.

The space group is P4/nmm (No. 129, origin choice 2) and the conventional cell measures 3.9579, 3.9579 and 11.0324 Å, with angles of 90.00, 90.00 and 90.00 degrees. Symmetry generates all atoms from Sr at (0.2500, 0.2500, 0.2395), Cu at (0.2500, 0.7500, 0.0000), Ag at (0.2500, 0.7500, 0.5000) and P at (0.2500, 0.2500, 0.8770).

The density of states at the Fermi level comes out at 5.11 states/eV/cell. For the formation energy from the elements, the calculation gives -0.47 eV/atom. As for the crystal system: tetragonal. The value obtained for the total energy is -0.1461 hartree per atom.

=====

The following is a PBE calculation of crystalline BaTc2Pt at its relaxed geometry, from Alexandria via LeMat-Bulk.

The space group is R-3m (No. 166, hexagonal axes) and the conventional cell measures 2.9438, 2.9438 and 31.0180 Å, with angles of 90.00, 90.00 and 120.00 degrees. Symmetry generates all atoms from Ba at (0.0000, 0.0000, 0.0000), Tc at (0.0000, 0.0000, 0.2356) and Pt at (0.0000, 0.0000, 0.5000).

The density of states at the Fermi level comes out at 15.80 states/eV/cell. For the formation energy from the elements, the calculation gives 0.98 eV/atom. As for the crystal system: trigonal. For the energy relative to the lowest polymorph listed for this composition, the calculation gives 783.9 meV per atom. The value obtained for the total energy is -0.2277 hartree per atom.

=====

The following is a PBE calculation of crystalline CeHoTi4 at its relaxed geometry, from Alexandria via LeMat-Bulk.

The space group is F-43m (No. 216) and the conventional cell measures 8.0748, 8.0748 and 8.0748 Å, with angles of 90.00, 90.00 and 90.00 degrees. Symmetry generates all atoms from Ce at (0.0000, 0.0000, 0.0000), Ho at (0.2500, 0.2500, 0.2500) and Ti at (0.1255, 0.1255, 0.6255).

The density of states at the Fermi level comes out at 44.82 states/eV/cell. For the formation energy from the elements, the calculation gives 0.28 eV/atom. As for the crystal system: cubic. The value obtained for the total energy is -0.2475 hartree per atom.

=====

The following is a PBE calculation of crystalline KCaAl2 at its relaxed geometry, from Alexandria via LeMat-Bulk.

The space group is I-42d (No. 122) and the conventional cell measures 8.9115, 8.9115 and 6.3495 Å, with angles of 90.00, 90.00 and 90.00 degrees. Symmetry generates all atoms from K at (0.0000, 0.0000, 0.0000), Ca at (0.0000, 0.0000, 0.5000) and Al at (0.2330, 0.2500, 0.6250).

The density of states at the Fermi level comes out at 11.41 states/eV/cell. For the formation energy from the elements, the calculation gives 0.49 eV/atom. As for the crystal system: tetragonal. For the energy relative to the lowest polymorph listed for this composition, the calculation gives 388.7 meV per atom. The value obtained for the total energy is -0.0793 hartree per atom.

=====

The following is a PBE calculation of crystalline PrSmWN4 at its relaxed geometry, from Alexandria via LeMat-Bulk.

The space group is I4mm (No. 107) and the conventional cell measures 3.9624, 3.9624 and 12.5586 Å, with angles of 90.00, 90.00 and 90.00 degrees. Symmetry generates all atoms from Pr at (0.0000, 0.0000, 0.0000), Sm at (0.0000, 0.0000, 0.7088), W at (0.0000, 0.0000, 0.3513), N at (0.0000, 0.0000, 0.1909), N at (0.0000, 0.0000, 0.5236) and N at (0.0000, 0.5000, 0.3546).

The density of states at the Fermi level comes out at 2.66 states/eV/cell. As for the crystal system: tetragonal. The uncorrected formation energy comes out at -7.3 eV per formula unit. The value obtained for the total energy is -0.3313 hartree per atom.

=====

The following is a PBE calculation of crystalline Ca2SiSb at its relaxed geometry, from Alexandria via LeMat-Bulk.

The space group is I4/mmm (No. 139) and the conventional cell measures 4.8776, 4.8776 and 8.6134 Å, with angles of 90.00, 90.00 and 90.00 degrees. Symmetry generates all atoms from Ca at (0.0000, 0.5000, 0.2500), Si at (0.0000, 0.0000, 0.0000) and Sb at (0.0000, 0.0000, 0.5000).

The density of states at the Fermi level comes out at 3.39 states/eV/cell. As for the crystal system: tetragonal. For the energy relative to the lowest polymorph listed for this composition, the calculation gives 0.0 meV per atom. The uncorrected formation energy comes out at -2.0 eV per formula unit. The value obtained for the total energy is -0.1432 hartree per atom.

=====

The following is a PBE calculation of crystalline Pd2PbS at its relaxed geometry, from Alexandria via LeMat-Bulk.

The space group is Fm-3m (No. 225) and the conventional cell measures 6.6196, 6.6196 and 6.6196 Å, with angles of 90.00, 90.00 and 90.00 degrees. Symmetry generates all atoms from Pd at (0.2500, 0.2500, 0.2500), Pb at (0.0000, 0.0000, 0.0000) and S at (0.0000, 0.0000, 0.5000).

The density of states at the Fermi level comes out at 5.12 states/eV/cell. As for the crystal system: cubic. For the energy relative to the lowest polymorph listed for this composition, the calculation gives 209.8 meV per atom. The uncorrected formation energy comes out at -0.2 eV per formula unit. The value obtained for the total energy is -0.1691 hartree per atom.

=====

The following is a PBE calculation of crystalline Er2GaCu2Rh5 at its relaxed geometry, from Alexandria via LeMat-Bulk.

The space group is P4/mbm (No. 127) and the conventional cell measures 9.2852, 9.2852 and 3.7467 Å, with angles of 90.00, 90.00 and 90.00 degrees. Symmetry generates all atoms from Er at (0.1731, 0.3269, 0.0000), Ga at (0.0000, 0.0000, 0.0000), Cu at (0.1249, 0.6249, 0.0000), Rh at (0.0000, 0.5000, 0.5000) and Rh at (0.0682, 0.7997, 0.5000).

The density of states at the Fermi level comes out at 21.28 states/eV/cell. For the formation energy from the elements, the calculation gives -0.52 eV/atom. As for the crystal system: tetragonal. The value obtained for the total energy is -0.2291 hartree per atom.

=====

For each record above, in turn, the calculated total moment values are 0.0, 0.0, 0.0, 0.0, 0.0, 0.0, 20.2, 0.0, 0.0, 0.0, 0.0, 0.0 μB/cell.